Material: RbP2AuS8
Method: DFT, GGA-PBE
State: optimized geometry

POSCAR file:
```
RbP2AuS8
1.0
5.922 0.000 0.000
-2.961 5.129 0.000
0.000 0.000 9.927
Rb P Au S
1 2 1 8
Direct
0.000 0.000 0.000 Rb
0.667 0.333 0.289 P
0.333 0.667 0.711 P
0.000 0.000 0.500 Au
0.333 0.667 0.913 S
0.326 0.332 0.341 S
0.668 0.994 0.341 S
0.667 0.333 0.087 S
0.332 0.006 0.659 S
0.674 0.668 0.659 S
0.994 0.326 0.659 S
0.006 0.674 0.341 S
```

Values from the calculation:
**SG**: P-3
**Formation energy from raw total energies**: -1.71 eV/f.u.
**Density**: 3.31 g/cm3